Record 1
First-principles (GGA-PBE) data for a geometry-optimized Nd4As2Br3 structure, as listed in the Alexandria database.

Unit cell a=4.2506 b=4.2506 c=17.9504 alpha=90.05 beta=89.95 gamma=120.00
With the nearest neighbours (Å) after each atom.
Element x y z (fractional)
Nd1 0.3337 0.6663 0.8827  3 As 2.90, 3 Br 3.23
Nd2 0.9992 0.0008 0.2941  3 As 2.95, 3 Br 3.06
Nd3 0.0008 0.9992 0.7059  3 As 2.95, 3 Br 3.06
Nd4 0.6663 0.3337 0.1173  3 As 2.90, 3 Br 3.23
As1 0.6672 0.3328 0.7966  6 Nd 2.90-2.95
As2 0.3328 0.6672 0.2034  6 Nd 2.90-2.95
Br1 0.6656 0.3344 0.3962  3 Nd 3.06
Br2 0.0000 0.0000 0.0000  6 Nd 3.23
Br3 0.3344 0.6656 0.6038  3 Nd 3.06

## Properties
Total magnetic moment = 0.00 μB/cell
Formation energy without anion corrections = -14.3 eV per formula unit


Record 2
First-principles (GGA-PBE) data for a geometry-optimized AcIn4Ir structure, as listed in the Alexandria database.

Unit cell a=4.5320 b=7.7575 c=8.5273 alpha=90.00 beta=90.00 gamma=90.00
With the nearest neighbours (Å) after each atom.
Element x y z (fractional)
Ac1 0.0000 0.6091 0.7500  1 Ir 3.15, 2 In 3.48
Ac2 0.0000 0.3909 0.2500  1 Ir 3.15, 2 In 3.48
In1 0.0000 0.0000 0.5000  2 Ir 2.65
In2 0.0000 0.0000 0.0000  2 Ir 2.65
In3 0.5000 0.9489 0.7500  2 Ir 3.01, 8 In 3.14-3.33
In4 0.5000 0.0511 0.2500  2 Ir 3.01, 8 In 3.14-3.33
In5 0.5000 0.6916 0.0633  2 Ir 2.89, 3 In 3.16-3.21
In6 0.5000 0.3084 0.9367  2 Ir 2.89, 3 In 3.16-3.21
In7 0.5000 0.6916 0.4367  2 Ir 2.89, 3 In 3.16-3.21
In8 0.5000 0.3084 0.5633  2 Ir 2.89, 3 In 3.16-3.21
Ir1 0.0000 0.2034 0.7500  6 In 2.65-2.89
Ir2 0.0000 0.7966 0.2500  6 In 2.65-2.89

## Properties
Total magnetic moment = 0.00 μB/cell
DFT formation energy = -0.38 eV/atom


Record 3
First-principles (GGA-PBE) data for a geometry-optimized VCo3H structure, as listed in the Alexandria database.

Unit cell a=4.5617 b=4.5617 c=4.5617 alpha=92.42 beta=92.42 gamma=92.42
With the nearest neighbours (Å) after each atom.
Element x y z (fractional)
H1 0.2500 0.2500 0.2500  3 Co 1.82, 2 V 1.89
H2 0.7500 0.7500 0.7500  3 Co 1.82, 2 V 1.89
Co1 0.9732 0.5268 0.2500  1 H 1.82
Co2 0.5268 0.2500 0.9732  1 H 1.82
Co3 0.2500 0.9732 0.5268  1 H 1.82
Co4 0.7500 0.0268 0.4732  1 H 1.82
Co5 0.4732 0.7500 0.0268  1 H 1.82
Co6 0.0268 0.4732 0.7500  1 H 1.82
V1 0.0000 0.0000 0.0000  2 H 1.89
V2 0.5000 0.5000 0.5000  2 H 1.89

## Properties
Total magnetic moment = 5.05 μB/cell
E_tot = -67.85 eV per cell


Record 4
First-principles (GGA-PBE) data for a geometry-optimized Na2CaSnAs2 structure, as listed in the Alexandria database.

Unit cell a=4.1358 b=8.6301 c=8.7740 alpha=90.00 beta=90.00 gamma=90.00
With the nearest neighbours (Å) after each atom.
Element x y z (fractional)
Na1 0.5000 0.0602 0.0913  3 As 3.00-3.35, 1 Sn 3.20
Na2 0.0000 0.3482 0.2028  3 As 2.93-3.09
Na3 0.5000 0.5602 0.9087  3 As 3.00-3.35, 1 Sn 3.20
Na4 0.0000 0.8482 0.7972  3 As 2.93-3.09
Ca1 0.0000 0.9553 0.4348  5 As 2.95-3.12
Ca2 0.0000 0.4553 0.5652  5 As 2.95-3.12
Sn1 0.5000 0.1438 0.7360  3 As 2.73-2.79
Sn2 0.5000 0.6438 0.2640  3 As 2.73-2.79
As1 0.0000 0.3116 0.8708  2 Sn 2.79, 3 Na 2.93-3.00, 1 Ca 2.95
As2 0.5000 0.2265 0.4357  1 Sn 2.73
As3 0.0000 0.8116 0.1291  2 Sn 2.79, 3 Na 2.93-3.00, 1 Ca 2.95
As4 0.5000 0.7265 0.5643  1 Sn 2.73

## Properties
Total magnetic moment = 0.00 μB/cell
DFT formation energy = -0.58 eV/atom